# 1
The following is a PBE calculation of a geometry-optimized Hf7Ga2S2 structure, from the Alexandria database.

Output
- Crystal system: orthorhombic
- Uncorrected formation energy: -627.5 meV/atom
- DOS at the Fermi energy: 9.8 states/eV/f.u.

Cell and atoms, written as POSCAR:
```
Hf7Ga2S2
1.0
-1.801 2.732 -0.364
-5.351 -0.640 6.799
1.866 4.194 7.362
S Hf Ga
2 7 2
Cartesian
-2.003 1.113 3.383
-4.649 4.258 10.308
-1.334 3.389 2.261
0.732 5.404 7.162
-2.423 3.921 11.656
-2.123 5.762 9.097
-3.143 2.583 5.166
0.199 2.776 4.963
-3.532 2.773 8.524
-3.687 0.475 6.929
-1.546 3.878 6.984
```

=====

# 2
The following is a PBE calculation of a geometry-optimized Hf6Ga2S structure, from the Alexandria database.

Output
- Crystal system: monoclinic
- Uncorrected formation energy: -548.7 meV/atom
- DOS at the Fermi energy: 7.1 states/eV/f.u.

Cell and atoms, written as POSCAR:
```
Hf6Ga2S
1.0
5.727 0.000 0.227
0.000 7.119 0.000
-0.410 0.000 8.777
Ga Hf S
4 12 2
Cartesian
0.357 4.398 2.184
2.301 0.838 2.319
4.960 2.721 6.821
3.016 6.281 6.686
3.500 3.355 2.559
1.909 5.787 4.024
3.408 1.332 4.981
3.286 1.230 8.457
4.568 4.892 8.526
4.690 4.789 5.050
2.032 5.889 0.548
0.627 2.330 3.955
0.749 2.227 0.478
0.432 0.205 6.835
4.885 6.914 2.170
1.817 3.764 6.445
2.863 3.559 0.114
-0.205 0.000 4.389
```

=====

# 3
The following is a PBE calculation of a geometry-optimized Hf2GaS structure, from the Alexandria database.

Output
- Crystal system: cubic
- Uncorrected formation energy: -427.0 meV/atom
- DOS at the Fermi energy: 6.0 states/eV/f.u.
- Polymorph energy (0 for the lowest one): 368.7 meV/atom

Cell and atoms, written as POSCAR:
```
Hf2GaS
1.0
0.000 3.295 3.295
3.295 0.000 3.295
3.295 3.295 0.000
S Ga Hf
1 1 2
Cartesian
0.000 0.000 0.000
3.295 3.295 3.295
1.648 1.648 1.648
4.943 4.943 4.943
```

=====

# 4
The following is a PBE calculation of a geometry-optimized Hf2GaS structure, from the Alexandria database.

Output
- Crystal system: trigonal
- Uncorrected formation energy: -795.7 meV/atom
- DOS at the Fermi energy: 2.1 states/eV/f.u.
- Polymorph energy (0 for the lowest one): 0.0 meV/atom

Cell and atoms, written as POSCAR:
```
Hf2GaS
1.0
3.422 0.000 0.000
1.711 2.963 0.000
1.711 0.988 7.358
S Hf Ga
1 2 1
Cartesian
5.133 2.963 7.354
1.711 0.988 1.588
1.711 0.988 5.760
3.422 1.976 3.694
```